(1)
This record from the Alexandria database describes a relaxed structure of Na4Tm3GeS8. The functional is PBE-GGA.

Summary:
- V (Å³/cell) = 350
- electronic total energy (Ry per atom) = -0.3704
- total moment (μB/cell) = 0.0

abc: 7.7873 8.0369 7.7874
angles: 118.99 120.00 90.00
Fractional coordinates of all 16 atoms:
Ge (0.0000, 0.5000, 0.0000)
S (0.2348, 0.7189, 0.9842)
Na (0.0000, 0.0000, 0.0000)
S (0.2581, 0.2743, 0.5161)
Tm (0.5000, 0.5000, 0.0000)
S (0.7651, 0.2810, 0.5302)
S (0.7652, 0.2811, 0.0158)
S (0.2506, 0.2811, 0.0158)
Na (0.5000, 0.0000, 0.5000)
Tm (0.0000, 0.5000, 0.5000)
S (0.7419, 0.7257, 0.4839)
S (0.2349, 0.7190, 0.4698)
S (0.7494, 0.7189, 0.9842)
Tm (0.5000, 0.5000, 0.5000)
Na (0.0000, 0.0000, 0.5000)
Na (0.5000, 0.0000, 0.0000)

(2)
This record from the Alexandria database describes a relaxed structure of Na3U3GeS8. The functional is PBE-GGA.

Summary:
- V (Å³/cell) = 366
- electronic total energy (Ry per atom) = -0.4585
- total moment (μB/cell) = 7.0

abc: 7.9746 7.9733 8.0869
angles: 119.55 90.00 120.01
Each line ends with the local moment (μB).
Fractional coordinates of all 15 atoms:
U (0.5000, 0.0000, 0.5000)  2.28
Na (0.5000, 0.5000, 0.0000)  0.00
S (0.2391, 0.9775, 0.7161)  -0.06
U (0.0000, 0.5000, 0.5000)  2.28
S (0.2616, 0.0225, 0.2839)  -0.06
S (0.2565, 0.5129, 0.2696)  -0.06
Na (0.0000, 0.5000, 0.0000)  0.00
S (0.7609, 0.0225, 0.2839)  -0.06
S (0.7384, 0.9775, 0.7161)  -0.06
Ge (0.0000, 0.0000, 0.5000)  -0.01
U (0.5000, 0.5000, 0.5000)  2.28
S (0.7435, 0.4871, 0.7304)  -0.06
S (0.2391, 0.4782, 0.7162)  -0.06
S (0.7609, 0.5218, 0.2838)  -0.06
Na (0.0000, 0.0000, 0.0000)  0.00